1.
HgMo2Cl | GGA-PBE | relaxed

Cell: 3.9372 3.9372 4.7315 Å, 90.00 90.00 90.00°
Atoms (fractional coordinates):
Hg 0.0000 0.0000 0.0000
Mo 0.0000 0.5000 0.5000
Mo 0.5000 0.0000 0.5000
Cl 0.5000 0.5000 0.0000

Values from the calculation:
- total magnetic moment (Bohr magnetons per cell) = 0.5
- raw total energy (eV for the cell shown) = -19.26
- E_form (uncorrected) (eV/atom) = 1.1372

2.
HgMoCl2 | GGA-PBE | relaxed

Cell: 3.0290 5.9603 10.8485 Å, 90.00 90.00 90.00°
Atoms (fractional coordinates):
Hg 0.0000 0.0000 0.0000
Hg 0.5000 0.5000 0.0000
Mo 0.0000 0.0000 0.5000
Mo 0.5000 0.5000 0.5000
Cl 0.0000 0.5000 0.3234
Cl 0.0000 0.5000 0.6766
Cl 0.5000 0.0000 0.3234
Cl 0.5000 0.0000 0.6766

Values from the calculation:
- total magnetic moment (Bohr magnetons per cell) = 2.7
- raw total energy (eV for the cell shown) = -31.03
- E_form (uncorrected) (eV/atom) = -0.1716

3.
HgMoCl2 | GGA-PBE | relaxed

Cell: 3.5654 6.8988 9.1575 Å, 90.00 90.00 90.00°
Atoms (fractional coordinates):
Hg 0.0000 0.0000 0.0000
Hg 0.5000 0.5000 0.5000
Mo 0.0000 0.5000 0.7429
Mo 0.5000 0.0000 0.2429
Cl 0.0000 0.0000 0.4239
Cl 0.0000 0.5000 0.2779
Cl 0.5000 0.0000 0.7779
Cl 0.5000 0.5000 0.9239

Values from the calculation:
- total magnetic moment (Bohr magnetons per cell) = 8.0
- raw total energy (eV for the cell shown) = -28.98
- E_form (uncorrected) (eV/atom) = 0.0839

4.
HgMoCl2 | GGA-PBE | relaxed

Cell: 12.6786 3.5815 6.5658 Å, 90.00 120.88 90.00°
Atoms (fractional coordinates):
Hg 0.0000 0.0000 0.0000
Hg 0.5000 0.5000 0.0000
Mo 0.0000 0.5000 0.5000
Mo 0.5000 0.0000 0.5000
Cl 0.1571 0.0000 0.6555
Cl 0.3429 0.5000 0.3445
Cl 0.6571 0.5000 0.6555
Cl 0.8429 0.0000 0.3445

Values from the calculation:
- total magnetic moment (Bohr magnetons per cell) = 8.0
- raw total energy (eV for the cell shown) = -30.91
- E_form (uncorrected) (eV/atom) = -0.1570

5.
HgMoCl2 | GGA-PBE | relaxed

Cell: 7.3804 7.3804 9.8528 Å, 90.00 90.00 90.00°
Atoms (fractional coordinates):
Hg 0.0000 0.0000 0.0000
Hg 0.0000 0.5000 0.2500
Hg 0.5000 0.0000 0.7500
Hg 0.5000 0.5000 0.5000
Mo 0.0000 0.0000 0.5000
Mo 0.0000 0.5000 0.7500
Mo 0.5000 0.0000 0.2500
Mo 0.5000 0.5000 0.0000
Cl 0.0886 0.2500 0.6250
Cl 0.2500 0.5886 0.8750
Cl 0.2500 0.9114 0.3750
Cl 0.4114 0.2500 0.1250
Cl 0.5886 0.7500 0.1250
Cl 0.7500 0.0886 0.3750
Cl 0.7500 0.4114 0.8750
Cl 0.9114 0.7500 0.6250

Values from the calculation:
- total magnetic moment (Bohr magnetons per cell) = 0.0
- raw total energy (eV for the cell shown) = -57.83
- E_form (uncorrected) (eV/atom) = 0.0924

6.
HgMoCl2 | GGA-PBE | relaxed

Cell: 6.6092 7.9496 4.6198 Å, 90.00 122.59 90.00°
Atoms (fractional coordinates):
Hg 0.0000 0.0000 0.0000
Hg 0.5000 0.5000 0.0000
Mo 0.0000 0.5000 0.0000
Mo 0.5000 0.0000 0.0000
Cl 0.2500 0.2500 0.5000
Cl 0.2500 0.7500 0.5000
Cl 0.7500 0.2500 0.5000
Cl 0.7500 0.7500 0.5000

Values from the calculation:
- total magnetic moment (Bohr magnetons per cell) = 8.4
- raw total energy (eV for the cell shown) = -26.27
- E_form (uncorrected) (eV/atom) = 0.4233

7.
HgMo2Cl | GGA-PBE | relaxed

Cell: 3.4410 4.9076 5.2184 Å, 90.00 95.83 90.00°
Atoms (fractional coordinates):
Hg 0.0000 0.0000 0.0000
Mo 0.3102 0.5000 0.1625
Mo 0.6898 0.5000 0.8375
Cl 0.5000 0.0000 0.5000

Values from the calculation:
- total magnetic moment (Bohr magnetons per cell) = 0.0
- raw total energy (eV for the cell shown) = -21.40
- E_form (uncorrected) (eV/atom) = 0.6026

8.
HgMoCl2 | GGA-PBE | relaxed

Cell: 3.1222 3.1222 8.2875 Å, 90.00 90.00 90.00°
Atoms (fractional coordinates):
Hg 0.0000 0.0000 0.0000
Mo 0.5000 0.5000 0.2472
Cl 0.0000 0.0000 0.4104
Cl 0.5000 0.5000 0.7764

Values from the calculation:
- total magnetic moment (Bohr magnetons per cell) = 0.0
- raw total energy (eV for the cell shown) = -14.25
- E_form (uncorrected) (eV/atom) = 0.1452

9.
HgMoCl | GGA-PBE | relaxed

Cell: 7.0219 7.0219 7.0219 Å, 90.00 90.00 90.00°
Atoms (fractional coordinates):
Hg 0.0000 0.0000 0.0000
Hg 0.0000 0.5000 0.5000
Hg 0.5000 0.0000 0.5000
Hg 0.5000 0.5000 0.0000
Mo 0.2500 0.2500 0.2500
Mo 0.2500 0.7500 0.7500
Mo 0.7500 0.2500 0.7500
Mo 0.7500 0.7500 0.2500
Cl 0.2500 0.2500 0.7500
Cl 0.2500 0.7500 0.2500
Cl 0.7500 0.2500 0.2500
Cl 0.7500 0.7500 0.7500

Values from the calculation:
- total magnetic moment (Bohr magnetons per cell) = 19.8
- raw total energy (eV for the cell shown) = -38.41
- E_form (uncorrected) (eV/atom) = 1.1256

10.
HgMo2Cl | GGA-PBE | relaxed

Cell: 3.2501 3.2501 26.7701 Å, 90.00 90.00 120.00°
Atoms (fractional coordinates):
Hg 0.0000 0.0000 0.0000
Hg 0.3333 0.6667 0.6667
Hg 0.6667 0.3333 0.3333
Mo 0.0000 0.0000 0.4851
Mo 0.0000 0.0000 0.7573
Mo 0.3333 0.6667 0.1517
Mo 0.3333 0.6667 0.4240
Mo 0.6667 0.3333 0.0906
Mo 0.6667 0.3333 0.8184
Cl 0.0000 0.0000 0.2234
Cl 0.3333 0.6667 0.8901
Cl 0.6667 0.3333 0.5567

Values from the calculation:
- total magnetic moment (Bohr magnetons per cell) = 0.0
- raw total energy (eV for the cell shown) = -70.51
- E_form (uncorrected) (eV/atom) = 0.0770

11.
HgMoCl2 | GGA-PBE | relaxed

Cell: 3.1750 5.9193 9.5840 Å, 90.00 90.00 90.00°
Atoms (fractional coordinates):
Hg 0.0000 0.0000 0.0000
Hg 0.5000 0.5000 0.0000
Mo 0.0000 0.5000 0.7558
Mo 0.5000 0.0000 0.7558
Cl 0.0000 0.0000 0.5679
Cl 0.0000 0.5000 0.2107
Cl 0.5000 0.0000 0.2107
Cl 0.5000 0.5000 0.5679

Values from the calculation:
- total magnetic moment (Bohr magnetons per cell) = 1.4
- raw total energy (eV for the cell shown) = -29.19
- E_form (uncorrected) (eV/atom) = 0.0576

12.
HgMo2Cl | GGA-PBE | relaxed

Cell: 3.0452 3.0452 7.0316 Å, 90.00 90.00 90.00°
Atoms (fractional coordinates):
Hg 0.0000 0.0000 0.0000
Mo 0.5000 0.5000 0.2941
Mo 0.5000 0.5000 0.7059
Cl 0.0000 0.0000 0.5000

Values from the calculation:
- total magnetic moment (Bohr magnetons per cell) = 0.0
- raw total energy (eV for the cell shown) = -20.42
- E_form (uncorrected) (eV/atom) = 0.8481

13.
HgMo2Cl | GGA-PBE | relaxed

Cell: 2.9580 2.9580 26.6688 Å, 90.00 90.00 120.00°
Atoms (fractional coordinates):
Hg 0.0000 0.0000 0.0000
Hg 0.3333 0.6667 0.6667
Hg 0.6667 0.3333 0.3333
Mo 0.0000 0.0000 0.2429
Mo 0.0000 0.0000 0.7571
Mo 0.3333 0.6667 0.4238
Mo 0.3333 0.6667 0.9096
Mo 0.6667 0.3333 0.0904
Mo 0.6667 0.3333 0.5762
Cl 0.0000 0.0000 0.5000
Cl 0.3333 0.6667 0.1667
Cl 0.6667 0.3333 0.8333

Values from the calculation:
- total magnetic moment (Bohr magnetons per cell) = 0.0
- raw total energy (eV for the cell shown) = -64.28
- E_form (uncorrected) (eV/atom) = 0.5961

14.
HgMo2Cl | GGA-PBE | relaxed

Cell: 6.5968 6.5968 6.5968 Å, 90.00 90.00 90.00°
Atoms (fractional coordinates):
Hg 0.0000 0.0000 0.0000
Hg 0.0000 0.5000 0.5000
Hg 0.5000 0.0000 0.5000
Hg 0.5000 0.5000 0.0000
Mo 0.0000 0.0000 0.5000
Mo 0.0000 0.5000 0.0000
Mo 0.2500 0.2500 0.7500
Mo 0.2500 0.7500 0.2500
Mo 0.5000 0.0000 0.0000
Mo 0.5000 0.5000 0.5000
Mo 0.7500 0.2500 0.2500
Mo 0.7500 0.7500 0.7500
Cl 0.2500 0.2500 0.2500
Cl 0.2500 0.7500 0.7500
Cl 0.7500 0.2500 0.7500
Cl 0.7500 0.7500 0.2500

Values from the calculation:
- total magnetic moment (Bohr magnetons per cell) = 0.4
- raw total energy (eV for the cell shown) = -79.25
- E_form (uncorrected) (eV/atom) = 0.9995

15.
HgMoCl2 | GGA-PBE | relaxed

Cell: 3.3007 3.3007 26.6050 Å, 90.00 90.00 120.00°
Atoms (fractional coordinates):
Hg 0.0000 0.0000 0.0000
Hg 0.3333 0.6667 0.6667
Hg 0.6667 0.3333 0.3333
Mo 0.0000 0.0000 0.7509
Mo 0.3333 0.6667 0.4175
Mo 0.6667 0.3333 0.0842
Cl 0.0000 0.0000 0.2602
Cl 0.0000 0.0000 0.4742
Cl 0.3333 0.6667 0.1409
Cl 0.3333 0.6667 0.9269
Cl 0.6667 0.3333 0.5936
Cl 0.6667 0.3333 0.8075

Values from the calculation:
- total magnetic moment (Bohr magnetons per cell) = 0.0
- raw total energy (eV for the cell shown) = -45.76
- E_form (uncorrected) (eV/atom) = -0.1071

16.
HgMo2Cl | GGA-PBE | relaxed

Cell: 2.8732 5.2338 9.3959 Å, 90.00 90.00 90.00°
Atoms (fractional coordinates):
Hg 0.0000 0.0000 0.0000
Hg 0.5000 0.5000 0.0000
Mo 0.0000 0.5000 0.2687
Mo 0.0000 0.5000 0.7313
Mo 0.5000 0.0000 0.2687
Mo 0.5000 0.0000 0.7313
Cl 0.0000 0.0000 0.5000
Cl 0.5000 0.5000 0.5000

Values from the calculation:
- total magnetic moment (Bohr magnetons per cell) = 0.0
- raw total energy (eV for the cell shown) = -41.99
- E_form (uncorrected) (eV/atom) = 0.7044

17.
HgMoCl2 | GGA-PBE | relaxed

Cell: 3.1011 3.1011 9.7801 Å, 90.00 90.00 90.00°
Atoms (fractional coordinates):
Hg 0.0000 0.0000 0.0000
Mo 0.0000 0.0000 0.5000
Cl 0.5000 0.5000 0.3479
Cl 0.5000 0.5000 0.6521

Values from the calculation:
- total magnetic moment (Bohr magnetons per cell) = 1.4
- raw total energy (eV for the cell shown) = -14.81
- E_form (uncorrected) (eV/atom) = 0.0043

18.
HgMoCl2 | GGA-PBE | relaxed

Cell: 7.1018 7.1018 7.1018 Å, 90.00 90.00 90.00°
Atoms (fractional coordinates):
Hg 0.0000 0.0000 0.0000
Hg 0.0000 0.5000 0.5000
Hg 0.5000 0.0000 0.5000
Hg 0.5000 0.5000 0.0000
Mo 0.0000 0.0000 0.5000
Mo 0.0000 0.5000 0.0000
Mo 0.5000 0.0000 0.0000
Mo 0.5000 0.5000 0.5000
Cl 0.2500 0.2500 0.2500
Cl 0.2500 0.2500 0.7500
Cl 0.2500 0.7500 0.2500
Cl 0.2500 0.7500 0.7500
Cl 0.7500 0.2500 0.2500
Cl 0.7500 0.2500 0.7500
Cl 0.7500 0.7500 0.2500
Cl 0.7500 0.7500 0.7500

Values from the calculation:
- total magnetic moment (Bohr magnetons per cell) = 16.0
- raw total energy (eV for the cell shown) = -51.85
- E_form (uncorrected) (eV/atom) = 0.4660

19.
HgMoCl | GGA-PBE | relaxed

Cell: 6.9499 6.9499 6.9499 Å, 90.00 90.00 90.00°
Atoms (fractional coordinates):
Hg 0.0000 0.0000 0.0000
Hg 0.0000 0.5000 0.5000
Hg 0.5000 0.0000 0.5000
Hg 0.5000 0.5000 0.0000
Mo 0.0000 0.0000 0.5000
Mo 0.0000 0.5000 0.0000
Mo 0.5000 0.0000 0.0000
Mo 0.5000 0.5000 0.5000
Cl 0.2500 0.2500 0.2500
Cl 0.2500 0.7500 0.7500
Cl 0.7500 0.2500 0.7500
Cl 0.7500 0.7500 0.2500

Values from the calculation:
- total magnetic moment (Bohr magnetons per cell) = 19.8
- raw total energy (eV for the cell shown) = -38.83
- E_form (uncorrected) (eV/atom) = 1.0910

20.
HgMoCl | GGA-PBE | relaxed

Cell: 6.8666 6.8666 6.8666 Å, 90.00 90.00 90.00°
Atoms (fractional coordinates):
Hg 0.0000 0.0000 0.0000
Hg 0.0000 0.5000 0.5000
Hg 0.5000 0.0000 0.5000
Hg 0.5000 0.5000 0.0000
Mo 0.2500 0.2500 0.2500
Mo 0.2500 0.7500 0.7500
Mo 0.7500 0.2500 0.7500
Mo 0.7500 0.7500 0.2500
Cl 0.0000 0.0000 0.5000
Cl 0.0000 0.5000 0.0000
Cl 0.5000 0.0000 0.0000
Cl 0.5000 0.5000 0.5000

Values from the calculation:
- total magnetic moment (Bohr magnetons per cell) = 19.3
- raw total energy (eV for the cell shown) = -42.25
- E_form (uncorrected) (eV/atom) = 0.8058

21.
HgMoCl | GGA-PBE | relaxed

Cell: 3.0208 3.0208 13.6984 Å, 90.00 90.00 90.00°
Atoms (fractional coordinates):
Hg 0.0000 0.0000 0.0000
Hg 0.5000 0.5000 0.5000
Mo 0.0000 0.0000 0.3490
Mo 0.5000 0.5000 0.8490
Cl 0.0000 0.0000 0.7482
Cl 0.5000 0.5000 0.2482

Values from the calculation:
- total magnetic moment (Bohr magnetons per cell) = 0.0
- raw total energy (eV for the cell shown) = -23.77
- E_form (uncorrected) (eV/atom) = 0.3644

22.
HgMoCl2 | GGA-PBE | relaxed

Cell: 4.2160 4.2160 9.9959 Å, 90.00 90.00 90.00°
Atoms (fractional coordinates):
Hg 0.0000 0.0000 0.0000
Hg 0.5000 0.5000 0.5000
Mo 0.0000 0.5000 0.7500
Mo 0.5000 0.0000 0.2500
Cl 0.0000 0.0000 0.5000
Cl 0.0000 0.5000 0.2500
Cl 0.5000 0.0000 0.7500
Cl 0.5000 0.5000 0.0000

Values from the calculation:
- total magnetic moment (Bohr magnetons per cell) = 8.1
- raw total energy (eV for the cell shown) = -25.97
- E_form (uncorrected) (eV/atom) = 0.4599

23.
HgMo2Cl | GGA-PBE | relaxed

Cell: 5.5339 9.3736 2.7850 Å, 90.00 90.00 90.00°
Atoms (fractional coordinates):
Hg 0.0000 0.0000 0.0000
Hg 0.5000 0.5000 0.0000
Mo 0.2500 0.2500 0.5000
Mo 0.2500 0.7500 0.5000
Mo 0.7500 0.2500 0.5000
Mo 0.7500 0.7500 0.5000
Cl 0.0000 0.5000 0.0000
Cl 0.5000 0.0000 0.0000

Values from the calculation:
- total magnetic moment (Bohr magnetons per cell) = 0.0
- raw total energy (eV for the cell shown) = -39.32
- E_form (uncorrected) (eV/atom) = 1.0374

24.
Hg3MoCl | GGA-PBE | relaxed

Cell: 5.5762 5.5762 5.5762 Å, 90.00 90.00 90.00°
Atoms (fractional coordinates):
Hg 0.0000 0.0000 0.5000
Hg 0.0000 0.5000 0.0000
Hg 0.5000 0.0000 0.0000
Mo 0.0000 0.0000 0.0000
Cl 0.5000 0.5000 0.5000

Values from the calculation:
- total magnetic moment (Bohr magnetons per cell) = 4.2
- raw total energy (eV for the cell shown) = -10.64
- E_form (uncorrected) (eV/atom) = 0.5896

25.
HgMoCl4 | GGA-PBE | relaxed

Cell: 7.1863 7.1863 13.2008 Å, 104.54 104.54 56.22°
Atoms (fractional coordinates):
Hg 0.0000 0.5000 0.0000
Hg 0.5000 0.0000 0.5000
Mo 0.0788 0.9212 0.7500
Mo 0.9212 0.0788 0.2500
Cl 0.0093 0.7864 0.3250
Cl 0.1649 0.6165 0.6263
Cl 0.2136 0.9907 0.1750
Cl 0.3835 0.8351 0.8737
Cl 0.6165 0.1649 0.1263
Cl 0.7864 0.0093 0.8250
Cl 0.8351 0.3835 0.3737
Cl 0.9907 0.2136 0.6750

Values from the calculation:
- total magnetic moment (Bohr magnetons per cell) = 4.0
- raw total energy (eV for the cell shown) = -44.46
- E_form (uncorrected) (eV/atom) = -0.6188

26.
HgMo2Cl | GGA-PBE | relaxed

Cell: 5.5508 10.0371 2.8524 Å, 90.00 111.27 90.00°
Atoms (fractional coordinates):
Hg 0.0000 0.0000 0.0000
Hg 0.5000 0.5000 0.0000
Mo 0.2500 0.2500 0.0000
Mo 0.2500 0.7500 0.0000
Mo 0.7500 0.2500 0.0000
Mo 0.7500 0.7500 0.0000
Cl 0.0000 0.5000 0.0000
Cl 0.5000 0.0000 0.0000

Values from the calculation:
- total magnetic moment (Bohr magnetons per cell) = 0.0
- raw total energy (eV for the cell shown) = -40.52
- E_form (uncorrected) (eV/atom) = 0.8871

27.
HgMo2Cl | GGA-PBE | relaxed

Cell: 4.1217 4.1217 18.6330 Å, 90.00 90.00 90.00°
Atoms (fractional coordinates):
Hg 0.0000 0.0000 0.0000
Hg 0.0000 0.5000 0.2500
Hg 0.5000 0.0000 0.7500
Hg 0.5000 0.5000 0.5000
Mo 0.1756 0.2500 0.6250
Mo 0.2500 0.6756 0.8750
Mo 0.2500 0.8244 0.3750
Mo 0.3244 0.2500 0.1250
Mo 0.6756 0.7500 0.1250
Mo 0.7500 0.1756 0.3750
Mo 0.7500 0.3244 0.8750
Mo 0.8244 0.7500 0.6250
Cl 0.0000 0.0000 0.5000
Cl 0.0000 0.5000 0.7500
Cl 0.5000 0.0000 0.2500
Cl 0.5000 0.5000 0.0000

Values from the calculation:
- total magnetic moment (Bohr magnetons per cell) = 0.0
- raw total energy (eV for the cell shown) = -81.19
- E_form (uncorrected) (eV/atom) = 0.8781

28.
Hg4MoCl | GGA-PBE | relaxed

Cell: 6.0357 6.0357 6.0357 Å, 60.00 60.00 60.00°
Atoms (fractional coordinates):
Hg 0.1251 0.1251 0.1251
Hg 0.1251 0.1251 0.6246
Hg 0.1251 0.6246 0.1251
Hg 0.6246 0.1251 0.1251
Mo 0.7500 0.7500 0.7500
Cl 0.5000 0.5000 0.5000

Values from the calculation:
- total magnetic moment (Bohr magnetons per cell) = 4.9
- raw total energy (eV for the cell shown) = -10.30
- E_form (uncorrected) (eV/atom) = 0.5967

29.
HgMoCl2 | GGA-PBE | relaxed

Cell: 4.9548 3.0895 7.3436 Å, 90.00 109.26 90.00°
Atoms (fractional coordinates):
Hg 0.0000 0.0000 0.0000
Mo 0.4793 0.5000 0.9576
Cl 0.3454 0.0000 0.6840
Cl 0.6419 0.5000 0.2893

Values from the calculation:
- total magnetic moment (Bohr magnetons per cell) = 1.1
- raw total energy (eV for the cell shown) = -15.68
- E_form (uncorrected) (eV/atom) = -0.2124

30.
HgMo2Cl | GGA-PBE | relaxed

Cell: 10.8064 3.0954 7.8408 Å, 90.00 129.65 90.00°
Atoms (fractional coordinates):
Hg 0.0000 0.0000 0.0000
Hg 0.5000 0.5000 0.0000
Mo 0.2200 0.0000 0.8643
Mo 0.2800 0.5000 0.1357
Mo 0.7200 0.5000 0.8643
Mo 0.7800 0.0000 0.1357
Cl 0.0000 0.5000 0.5000
Cl 0.5000 0.0000 0.5000

Values from the calculation:
- total magnetic moment (Bohr magnetons per cell) = 0.0
- raw total energy (eV for the cell shown) = -44.47
- E_form (uncorrected) (eV/atom) = 0.3934